First-principles (GGA-PBE) data for an optimized crystal structure of BiTe2PdI, as listed in Alexandria via LeMat-Bulk.

Summary:
Formation energy (no corrections): 0.78 eV/atom
Excess energy over the best structure of this formula in the dataset: 610 meV/atom
Space-group type: P4/mmm, No. 123
Magnetic moment: 1.48 Bohr magnetons per cell
Calculated total energy: -2.60 eV/atom

Cell lengths 5.959, 5.959, 6.061 Å; angles 90.00, 90.00, 90.00 degrees
Last column: magnetic moment on the atom in μB.
Atoms (fractional coordinates):
1 Pd 0.500 0.500 0.500  0.49
2 I 0.000 0.000 0.500  0.06
3 Bi 0.000 0.000 0.000  -0.01
4 Te 0.000 0.500 0.000  0.25
5 Te 0.500 0.000 0.000  0.25

---

First-principles (GGA-PBE) data for an optimized crystal structure of Pm3Bi2I2, as listed in Alexandria via LeMat-Bulk.

Summary:
Formation energy (no corrections): -1.01 eV/atom
Space-group type: C2/m, No. 12
Magnetic moment: 0.00 Bohr magnetons per cell
Calculated total energy: -4.60 eV/atom

Cell lengths 4.494, 7.805, 7.924 Å; angles 100.12, 90.00, 106.70 degrees
Atoms (fractional coordinates):
1 Bi 0.385 0.770 0.149
2 Pm 0.000 0.000 0.000
3 I 0.871 0.744 0.620
4 Pm 0.250 0.501 0.779
5 Bi 0.615 0.230 0.851
6 Pm 0.750 0.499 0.221
7 I 0.129 0.256 0.380

---

First-principles (GGA-PBE) data for an optimized crystal structure of Pm4Bi3I, as listed in Alexandria via LeMat-Bulk.

Summary:
Formation energy (no corrections): -0.92 eV/atom
Space-group type: I4/mmm, No. 139
Magnetic moment: 0.00 Bohr magnetons per cell
Calculated total energy: -4.95 eV/atom

Cell lengths 6.446, 6.446, 7.915 Å; angles 114.02, 114.02, 90.01 degrees
Atoms (fractional coordinates):
1 Pm 0.741 0.741 0.482
2 Bi 0.750 0.250 0.500
3 Pm 0.500 0.000 0.000
4 Pm 0.259 0.259 0.518
5 Pm 0.000 0.500 0.000
6 Bi 0.250 0.750 0.500
7 I 0.000 0.000 0.000
8 Bi 0.500 0.500 0.000